VASP calculation (GGA-PBE) on a relaxed Y3TaPb crystal.

```
Y3TaPb
1.0
5.663 0.000 0.000
0.000 5.663 0.000
0.000 0.000 5.663
Y Ta Pb
3 1 1
Cartesian
0.000 0.000 2.831
0.000 2.831 0.000
2.831 0.000 0.000
2.831 2.831 2.831
0.000 0.000 0.000
```

The calculation puts the volume at 36.3 Å³ per atom. The value obtained for the formation energy is 1.084 eV per atom. The polymorph energy (0 for the lowest one) is 568.5 meV/atom. The calculation puts the density of states at the Fermi level at 5.19 states/eV per cell.